## AcCeSn6 (PBE)

Data for AcCeSn6 after structural relaxation.

```
AcCeSn6
1.0
4.820 0.000 0.000
0.000 4.820 0.000
0.000 0.000 9.647
Ac Ce Sn
1 1 6
Cartesian
0.000 0.000 0.000
0.000 0.000 4.824
0.000 2.410 2.509
0.000 2.410 7.138
2.410 0.000 2.509
2.410 0.000 7.138
2.410 2.410 0.000
2.410 2.410 4.824
```

Results
- formation energy from the elements (eV/atom) = -0.51
- total moment (μB/cell) = 0.561
- symmetry = P4/mmm